Record 1
Entry from OQMD via LeMat-Bulk: BeFeGePb after structural relaxation (GGA-PBE).

```
data_BeFeGePb
_cell_length_a 6.5666
_cell_length_b 6.5666
_cell_length_c 6.5666
_cell_angle_alpha 90.00
_cell_angle_beta 90.00
_cell_angle_gamma 90.00
_symmetry_space_group_name_H-M 'F -4 3 m'
_symmetry_Int_Tables_number 216
_symmetry_space_group_name_Hall 'F -4 2 3'
loop_
_atom_site_label
_atom_site_type_symbol
_atom_site_fract_x
_atom_site_fract_y
_atom_site_fract_z
_atom_site_occupancy
Be1 Be 0.0000 0.0000 0.0000 1
Fe1 Fe 0.2500 0.2500 0.2500 1
Ge1 Ge 0.0000 0.0000 0.5000 1
Pb1 Pb 0.2500 0.2500 0.7500 1
```

ΔE to the lowest computed polymorph	0.098	eV per atom


Record 2
Entry from OQMD via LeMat-Bulk: Tb3Tl5 after structural relaxation (GGA-PBE).

```
data_Tb3Tl5
_cell_length_a 10.0728
_cell_length_b 8.1058
_cell_length_c 10.4556
_cell_angle_alpha 90.00
_cell_angle_beta 90.00
_cell_angle_gamma 90.00
_symmetry_space_group_name_H-M 'C m c m'
_symmetry_Int_Tables_number 63
_symmetry_space_group_name_Hall '-C 2c 2'
loop_
_atom_site_label
_atom_site_type_symbol
_atom_site_fract_x
_atom_site_fract_y
_atom_site_fract_z
_atom_site_occupancy
Tb1 Tb 0.0000 0.1106 0.2500 1
Tb2 Tb 0.2065 0.5000 0.0000 1
Tl1 Tl 0.0000 0.1985 0.5374 1
Tl2 Tl 0.0000 0.4988 0.7500 1
Tl3 Tl 0.2222 0.2118 0.7500 1
```

final energy	-3.52	eV per atom


Record 3
Entry from OQMD via LeMat-Bulk: BaNdAgS3 after structural relaxation (GGA-PBE).

```
data_BaNdAgS3
_cell_length_a 11.4000
_cell_length_b 4.3475
_cell_length_c 12.1248
_cell_angle_alpha 90.00
_cell_angle_beta 90.00
_cell_angle_gamma 90.00
_symmetry_space_group_name_H-M 'P n m a'
_symmetry_Int_Tables_number 62
loop_
_symmetry_equiv_pos_as_xyz
'x,y,z'
'-x,-y,-z'
'-x+1/2,-y,z+1/2'
'x+1/2,y,-z+1/2'
'x+1/2,-y+1/2,-z+1/2'
'-x+1/2,y+1/2,z+1/2'
'-x,y+1/2,-z'
'x,-y+1/2,z'
loop_
_atom_site_label
_atom_site_type_symbol
_atom_site_fract_x
_atom_site_fract_y
_atom_site_fract_z
_atom_site_occupancy
Ba1 Ba 0.1843 0.2500 0.0014 1
Nd1 Nd 0.0126 0.2500 0.3177 1
Ag1 Ag 0.2499 0.2500 0.7158 1
S1 S 0.0378 0.7500 0.1527 1
S2 S 0.0955 0.2500 0.5624 1
S3 S 0.2297 0.7500 0.8179 1
```

ΔE to the lowest computed polymorph	0.056	eV per atom


Record 4
Entry from OQMD via LeMat-Bulk: MgAgP3O9 after structural relaxation (GGA-PBE).

```
data_MgAgP3O9
_cell_length_a 13.8751
_cell_length_b 10.6335
_cell_length_c 9.8403
_cell_angle_alpha 90.00
_cell_angle_beta 90.00
_cell_angle_gamma 90.00
_symmetry_space_group_name_H-M 'P c c a'
_symmetry_Int_Tables_number 54
loop_
_symmetry_equiv_pos_as_xyz
'x,y,z'
'-x,-y,-z'
'-x+1/2,-y,z'
'x+1/2,y,-z'
'x+1/2,-y,-z+1/2'
'-x+1/2,y,z+1/2'
'-x,y,-z+1/2'
'x,-y,z+1/2'
loop_
_atom_site_label
_atom_site_type_symbol
_atom_site_fract_x
_atom_site_fract_y
_atom_site_fract_z
_atom_site_occupancy
Mg1 Mg 0.0000 0.0000 0.0000 1
Mg2 Mg 0.2500 0.5000 0.0343 1
Ag1 Ag 0.1228 0.2480 0.4729 1
P1 P 0.1007 0.4719 0.7865 1
P2 P 0.1262 0.2518 0.9560 1
P3 P 0.1488 0.0482 0.7597 1
O1 O 0.0000 0.4611 0.2500 1
O2 O 0.0570 0.1707 0.0319 1
O3 O 0.0622 0.3498 0.8689 1
O4 O 0.0894 0.0866 0.6398 1
O5 O 0.1065 0.0435 0.3587 1
O6 O 0.1499 0.4297 0.6603 1
O7 O 0.1544 0.4426 0.3813 1
O8 O 0.1833 0.1729 0.8405 1
O9 O 0.2012 0.3212 0.0344 1
O10 O 0.2500 0.0000 0.2003 1
```

final energy	-6.75	eV per atom


Record 5
Entry from OQMD via LeMat-Bulk: Mo3N4 after structural relaxation (GGA-PBE).

```
data_Mo3N4
_cell_length_a 3.3769
_cell_length_b 3.3769
_cell_length_c 21.2460
_cell_angle_alpha 90.00
_cell_angle_beta 90.00
_cell_angle_gamma 120.00
_symmetry_space_group_name_H-M 'R -3 m'
_symmetry_Int_Tables_number 166
_symmetry_space_group_name_Hall '-R 3 2"'
loop_
_atom_site_label
_atom_site_type_symbol
_atom_site_fract_x
_atom_site_fract_y
_atom_site_fract_z
_atom_site_occupancy
Mo1 Mo 0.0000 0.0000 0.0000 1
Mo2 Mo 0.0000 0.0000 0.2313 1
N1 N 0.0000 0.0000 0.1337 1
N2 N 0.0000 0.0000 0.3796 1
```

final energy	-9.32	eV per atom


Record 6
Entry from OQMD via LeMat-Bulk: AcAlPt after structural relaxation (GGA-PBE).

```
data_AcAlPt
_cell_length_a 6.8108
_cell_length_b 6.8108
_cell_length_c 6.8108
_cell_angle_alpha 90.00
_cell_angle_beta 90.00
_cell_angle_gamma 90.00
_symmetry_space_group_name_H-M 'F -4 3 m'
_symmetry_Int_Tables_number 216
_symmetry_space_group_name_Hall 'F -4 2 3'
loop_
_atom_site_label
_atom_site_type_symbol
_atom_site_fract_x
_atom_site_fract_y
_atom_site_fract_z
_atom_site_occupancy
Ac1 Ac 0.0000 0.0000 0.0000 1
Al1 Al 0.2500 0.2500 0.2500 1
Pt1 Pt 0.0000 0.0000 0.5000 1
```

ΔE to the lowest computed polymorph	0.755	eV per atom


Record 7
Entry from OQMD via LeMat-Bulk: LuMgMo after structural relaxation (GGA-PBE).

```
data_LuMgMo
_cell_length_a 6.7966
_cell_length_b 6.7966
_cell_length_c 6.7966
_cell_angle_alpha 90.00
_cell_angle_beta 90.00
_cell_angle_gamma 90.00
_symmetry_space_group_name_H-M 'F -4 3 m'
_symmetry_Int_Tables_number 216
_symmetry_space_group_name_Hall 'F -4 2 3'
loop_
_atom_site_label
_atom_site_type_symbol
_atom_site_fract_x
_atom_site_fract_y
_atom_site_fract_z
_atom_site_occupancy
Lu1 Lu 0.0000 0.0000 0.0000 1
Mg1 Mg 0.2500 0.2500 0.7500 1
Mo1 Mo 0.2500 0.2500 0.2500 1
```

ΔE to the lowest computed polymorph	0.342	eV per atom


Record 8
Entry from OQMD via LeMat-Bulk: CdSbTe2 after structural relaxation (GGA-PBE).

```
data_CdSbTe2
_cell_length_a 7.5750
_cell_length_b 7.5750
_cell_length_c 7.5750
_cell_angle_alpha 90.00
_cell_angle_beta 90.00
_cell_angle_gamma 90.00
_symmetry_space_group_name_H-M 'F -4 3 m'
_symmetry_Int_Tables_number 216
_symmetry_space_group_name_Hall 'F -4 2 3'
loop_
_atom_site_label
_atom_site_type_symbol
_atom_site_fract_x
_atom_site_fract_y
_atom_site_fract_z
_atom_site_occupancy
Cd1 Cd 0.0000 0.0000 0.0000 1
Sb1 Sb 0.2500 0.2500 0.7500 1
Te1 Te 0.0000 0.0000 0.5000 1
Te2 Te 0.2500 0.2500 0.2500 1
```

final energy	-2.58	eV per atom


no.,volume (Å³ per cell)
1,283.2
2,853.7
3,600.9
4,1451.8
5,209.8
6,315.9
7,314.0
8,434.7